Entry 1:
# FeNi3Sn

A relaxed FeNi3Sn crystal (PBE-GGA, Alexandria via LeMat-Bulk).

Computed properties:
* energy relative to the lowest polymorph listed for this composition: 0 meV/atom
* space-group type: No. 221
* volume: 16.433 Å³/atom

Lattice parameters (Å, degrees): 4.3474 4.3474 4.3474 90.00 90.00 90.00
Fractional positions:
Fe (0.0000, 0.0000, 0.0000)
Ni (0.0000, 0.0000, 0.5000)
Ni (0.0000, 0.5000, 0.0000)
Ni (0.5000, 0.0000, 0.0000)
Sn (0.5000, 0.5000, 0.5000)

Entry 2:
# CePm4Ir4

A relaxed CePm4Ir4 crystal (PBE-GGA, Alexandria via LeMat-Bulk).

Computed properties:
* space-group type: No. 86
* volume: 25.767 Å³/atom
* final energy: -7.305 eV per atom

Lattice parameters (Å, degrees): 8.8556 8.8556 5.9141 90.00 90.00 90.00
Fractional positions:
Ce (0.2500, 0.2500, 0.2500)
Ce (0.7500, 0.7500, 0.7500)
Pm (0.0661, 0.6658, 0.1445)
Pm (0.1658, 0.9339, 0.6445)
Pm (0.3342, 0.5661, 0.6445)
Pm (0.4339, 0.8342, 0.1445)
Pm (0.5661, 0.1658, 0.8555)
Pm (0.6658, 0.4339, 0.3555)
Pm (0.8342, 0.0661, 0.3555)
Pm (0.9339, 0.3342, 0.8555)
Ir (0.0165, 0.6264, 0.6414)
Ir (0.1264, 0.9835, 0.1414)
Ir (0.3736, 0.5165, 0.1414)
Ir (0.4835, 0.8736, 0.6414)
Ir (0.5165, 0.1264, 0.3586)
Ir (0.6264, 0.4835, 0.8586)
Ir (0.8736, 0.0165, 0.8586)
Ir (0.9835, 0.3736, 0.3586)

Entry 3:
# Nb2CuTePd

A relaxed Nb2CuTePd crystal (PBE-GGA, Alexandria via LeMat-Bulk).

Computed properties:
* energy relative to the elements, uncorrected: 75.5 kJ per mole of atoms
* space-group type: No. 123
* volume: 20.516 Å³/atom

Lattice parameters (Å, degrees): 4.7072 4.7072 4.6296 90.00 90.00 90.00
Fractional positions:
Nb (0.0000, 0.5000, 0.0000)
Nb (0.5000, 0.0000, 0.0000)
Cu (0.0000, 0.0000, 0.0000)
Te (0.5000, 0.5000, 0.5000)
Pd (0.0000, 0.0000, 0.5000)

Entry 4:
# CeDy2TmBi5

A relaxed CeDy2TmBi5 crystal (PBE-GGA, Alexandria via LeMat-Bulk).

Computed properties:
* space-group type: No. 123
* volume: 40.442 Å³/atom
* final energy: -4.225 eV per atom

Lattice parameters (Å, degrees): 5.5572 5.5572 11.7857 90.00 90.00 90.00
Fractional positions:
Ce (0.0000, 0.0000, 0.0000)
Dy (0.5000, 0.5000, 0.2284)
Dy (0.5000, 0.5000, 0.7716)
Tm (0.0000, 0.0000, 0.5000)
Bi (0.0000, 0.0000, 0.2563)
Bi (0.0000, 0.0000, 0.7437)
Bi (0.0000, 0.5000, 0.0000)
Bi (0.5000, 0.0000, 0.0000)
Bi (0.5000, 0.5000, 0.5000)

Entry 5:
# Nd2YNi

A relaxed Nd2YNi crystal (PBE-GGA, Alexandria via LeMat-Bulk).

Computed properties:
* energy relative to the lowest polymorph listed for this composition: 129 meV/atom
* space-group type: No. 123
* volume: 27.943 Å³/atom

Lattice parameters (Å, degrees): 3.5752 3.5752 8.7443 90.00 90.00 90.00
Fractional positions:
Nd (0.0000, 0.0000, 0.1907)
Nd (0.0000, 0.0000, 0.8093)
Y (0.5000, 0.5000, 0.5000)
Ni (0.5000, 0.5000, 0.0000)

Entry 6:
# YBeRe2

A relaxed YBeRe2 crystal (PBE-GGA, Alexandria via LeMat-Bulk).

Computed properties:
* space-group type: No. 44
* volume: 17.049 Å³/atom
* final energy: -8.338 eV per atom

Lattice parameters (Å, degrees): 5.2714 5.2714 5.2714 144.10 126.40 66.20
Fractional positions:
Y (0.0000, 0.0000, 0.0000)
Be (0.2821, 0.7821, 0.5000)
Re (0.5020, 0.5020, 0.0000)
Re (0.7199, 0.2199, 0.5000)